(1)
ZnFe2Cu | GGA-PBEsol | optimized geometry

Cell lengths 2.4965, 3.7252, 4.9745 Å; angles 90.00, 90.00, 90.00 degrees
Space group Pmmm (No. 47)
Asymmetric unit:
Zn1 0.0000 0.0000 0.0000 x1
Fe1 0.5000 0.5000 0.2546 x2
Cu1 0.0000 0.0000 0.5000 x1

Its calculated formation energy is 33 kJ/mol of formula units.

(2)
ZnFe2Cu | GGA-PBEsol | optimized geometry

Cell lengths 2.5113, 2.5113, 7.1100 Å; angles 90.00, 90.00, 90.00 degrees
Space group P4mm (No. 99)
Asymmetric unit:
Zn1 0.0000 0.0000 0.0000 x1
Fe1 0.0000 0.0000 0.5195 x1
Fe2 0.5000 0.5000 0.7396 x1
Cu1 0.5000 0.5000 0.2644 x1

Its calculated formation energy is 19 kJ/mol of formula units.

(3)
ZnFeCu | GGA-PBEsol | optimized geometry

Cell lengths 2.5526, 2.5526, 10.8707 Å; angles 90.00, 90.00, 90.00 degrees
Space group I4mm (No. 107)
Asymmetric unit:
Zn1 0.0000 0.0000 0.0000 x2
Fe1 0.0000 0.0000 0.6682 x2
Cu1 0.0000 0.0000 0.3300 x2

Its calculated formation energy is 10 kJ/mol of formula units.

(4)
ZrFeCu2 | GGA-PBEsol | optimized geometry

Cell lengths 2.6572, 4.1283, 5.0462 Å; angles 90.00, 98.14, 90.00 degrees
Space group Pm (No. 6)
Asymmetric unit:
Zr1 0.0000 0.0000 0.0000 x1
Fe1 0.2384 0.5000 0.6889 x1
Cu1 0.5857 0.5000 0.2485 x1
Cu2 0.5966 0.0000 0.5015 x1

Its calculated formation energy is 47 kJ/mol of formula units.